! TiPt3F PBE relaxed; values from VASP
! Energy relative to the elements, uncorrected in eV per atom: 0.609
! Total energy in eV/atom: -4.969
! Offset from the most stable computed form in eV per formula unit: 1.203
&SYSTEM
  ibrav = 0, nat = 5, ntyp = 3
/
ATOMIC_SPECIES
Pt 195.08 Pt.upf
F 19.00 F.upf
Ti 47.87 Ti.upf
CELL_PARAMETERS angstrom
4.693 0.000 0.000
0.000 4.693 0.000
0.000 0.000 4.693
ATOMIC_POSITIONS crystal
Pt 0.000 0.500 0.000
Pt 0.500 0.000 0.000
Pt 0.000 0.000 0.500
F 0.500 0.500 0.500
Ti 0.000 0.000 0.000